A plane-wave DFT calculation with GGA-PBE was carried out for an optimized crystal structure of YI3O11.

a b c (Å): 7.3845 7.8041 9.4917
angles (deg): 79.54 83.40 65.34
Last column: magnetic moment on the atom in μB.
Fractional coordinates of all 30 atoms:
I  0.1166  0.1496  0.1874  0.01
I  0.2410  0.6010  0.1515  0.00
I  0.3068  0.7351  0.5150  0.09
I  0.6932  0.2649  0.4850  0.09
I  0.8834  0.8504  0.8126  0.01
I  0.7590  0.3990  0.8485  0.00
O  0.6306  0.7454  0.4987  1.38
O  0.8555  0.1203  0.3530  0.09
O  0.2828  0.5660  0.9615  0.01
O  0.9875  0.5973  0.7817  0.01
O  0.9782  0.7680  0.1336  0.02
O  0.1435  0.6848  0.4145  0.16
O  0.5902  0.4970  0.3586  0.10
O  0.7172  0.4340  0.0385  0.01
O  0.4098  0.5030  0.6414  0.10
O  0.7295  0.9608  0.6539  0.22
O  0.0125  0.4027  0.2183  0.01
O  0.0218  0.2320  0.8664  0.02
O  0.3694  0.2546  0.5013  1.38
O  0.8565  0.3152  0.5855  0.16
O  0.6449  0.2259  0.8630  0.01
O  0.1445  0.8797  0.6470  0.09
O  0.3898  0.0910  0.6901  1.24
O  0.3171  0.1762  0.0630  0.03
O  0.2705  0.0392  0.3461  0.22
O  0.3551  0.7741  0.1370  0.01
O  0.6829  0.8238  0.9370  0.03
O  0.6102  0.9090  0.3099  1.24
Y  0.7106  0.6654  0.1640  0.00
Y  0.2894  0.3346  0.8360  0.00

- space-group type = P-1, No. 2
- density of states at the Fermi level (states/eV per atom) = 0.0746
- crystal system = triclinic
- E_tot (eV/atom) = -4.89
- calculated density (g cm⁻³) = 4.39
- E_form (uncorrected) (eV per atom) = -0.513